(1)
LaTb5Er: relaxed, PBE.

Cell and atoms, written as extended XYZ:
```
7
Lattice="-3.641 -0.496 -4.485 3.291 -3.987 -5.979 -2.711 -7.389 -0.730" Properties=species:S:1:pos:R:3 pbc="T T T"
La 0.000 0.000 0.000
Tb -3.452 -7.025 -3.917
Tb 0.391 -4.847 -7.277
Tb -2.576 -3.242 -5.046
Tb -0.485 -8.630 -6.148
Tb 0.290 -5.688 -3.354
Er -1.531 -5.936 -5.597
```

Energy above the lowest structure with this stoichiometry ... 889 meV per atom
Symmetry ... No. 71
N(E_F) ... 9.721 states/eV/f.u.
ΔH_f (0 K) ... 1.08 eV/atom
Electronic total energy ... -3.58 eV per atom

***

(2)
La2Tb7Er: relaxed, PBE.

Cell and atoms, written as extended XYZ:
```
10
Lattice="5.578 -2.236 1.624 -4.347 7.965 -5.788 3.026 -1.807 10.794" Properties=species:S:1:pos:R:3 pbc="T T T"
La 0.843 3.152 1.483
La 3.414 0.770 5.147
Tb -1.538 5.871 1.445
Tb 5.795 -1.948 5.184
Tb 1.037 3.480 5.089
Tb 3.220 0.442 1.541
Tb -1.736 5.544 -2.167
Tb 5.993 -1.622 8.797
Tb 0.616 2.865 -2.082
Er 0.000 0.000 0.000
```

Energy above the lowest structure with this stoichiometry ... 0 meV per atom
Symmetry ... No. 2
N(E_F) ... 13.808 states/eV/f.u.
ΔH_f (0 K) ... 0.02 eV/atom
Electronic total energy ... -4.66 eV per atom

***

(3)
La4Tb15Er: relaxed, PBE.

Cell and atoms, written as extended XYZ:
```
20
Lattice="5.097 0.000 0.000 0.000 5.097 0.000 0.000 0.000 25.374" Properties=species:S:1:pos:R:3 pbc="T T T"
La 0.000 0.000 5.042
La 0.000 0.000 10.126
La 0.000 0.000 15.248
La 0.000 0.000 20.332
Tb 2.548 2.548 0.000
Tb 2.548 2.548 5.012
Tb 2.548 2.548 10.132
Tb 2.548 2.548 15.242
Tb 2.548 2.548 20.363
Tb 2.548 0.000 2.465
Tb 2.548 0.000 7.574
Tb 2.548 0.000 12.687
Tb 2.548 0.000 17.800
Tb 2.548 0.000 22.909
Tb 0.000 2.548 2.465
Tb 0.000 2.548 7.574
Tb 0.000 2.548 12.687
Tb 0.000 2.548 17.800
Tb 0.000 2.548 22.909
Er 0.000 0.000 0.000
```

Symmetry ... No. 123
N(E_F) ... 29.898 states/eV/f.u.
ΔH_f (0 K) ... 0.03 eV/atom
Electronic total energy ... -4.66 eV per atom

***

(4)
La7Tb2Er2: relaxed, PBE.

Cell and atoms, written as extended XYZ:
```
11
Lattice="9.796 0.000 0.000 0.003 6.463 -2.561 -0.003 -1.237 6.841" Properties=species:S:1:pos:R:3 pbc="T T T"
La 6.675 -0.618 3.422
La 3.121 3.233 -1.281
La 3.121 5.844 0.858
La 6.675 1.993 5.561
La 0.000 0.000 0.000
La 1.710 2.613 2.140
La 8.086 2.613 2.140
Tb 9.797 4.400 -0.042
Tb -0.001 0.826 4.322
Er 4.898 3.907 3.200
Er 4.898 1.318 1.080
```

Energy above the lowest structure with this stoichiometry ... 210 meV per atom
Symmetry ... No. 65
N(E_F) ... 17.033 states/eV/f.u.
ΔH_f (0 K) ... 0.30 eV/atom
Electronic total energy ... -4.51 eV per atom

***

Question: Among the records above, which one has the lowest ΔH_f (0 K)?
Answer: La2Tb7Er